[1]
Density functional theory data (PBE) for Nd3MgHg4 after structural relaxation.

Cell: 9.4520 9.4520 9.4520 Å, 32.28 32.28 32.28°
With the nearest neighbours (Å) after each atom.
Fractional coordinates of all 8 atoms:
Nd 0.0000 0.0000 0.0000  8 Hg 3.24-3.36
Nd 0.2429 0.2429 0.2429  7 Hg 3.16-3.30
Nd 0.7571 0.7571 0.7571  7 Hg 3.16-3.30
Mg 0.5000 0.5000 0.5000  8 Hg 3.23-3.35
Hg 0.1252 0.1252 0.1252  5 Nd 3.16-3.36, 3 Mg 3.23
Hg 0.3754 0.3754 0.3754  7 Nd 3.24-3.56, 1 Mg 3.35
Hg 0.6246 0.6246 0.6246  7 Nd 3.24-3.56, 1 Mg 3.35
Hg 0.8748 0.8748 0.8748  5 Nd 3.16-3.36, 3 Mg 3.23

**Magnetization**: 0.00 μB per formula unit
**Mass density**: 9.77 g/cm³
**ΔE_f**: -0.453 eV per atom
**DOS at the Fermi energy**: 6.53 states/eV per cell

***

[2]
Density functional theory data (PBE) for NdMg6Hg2 after structural relaxation.

Cell: 4.4503 4.4503 10.9605 Å, 90.00 90.00 90.00°
With the nearest neighbours (Å) after each atom.
Fractional coordinates of all 9 atoms:
Nd 0.0000 0.0000 0.0000  8 Hg 3.45
Mg 0.0000 0.0000 0.5000  12 Mg 3.15-3.21
Mg 0.0000 0.5000 0.2886  2 Hg 2.83, 4 Mg 3.15
Mg 0.0000 0.5000 0.7114  2 Hg 2.83, 4 Mg 3.15
Mg 0.5000 0.0000 0.2886  2 Hg 2.83, 4 Mg 3.15
Mg 0.5000 0.0000 0.7114  2 Hg 2.83, 4 Mg 3.15
Mg 0.5000 0.5000 0.5000  12 Mg 3.15-3.21
Hg 0.5000 0.5000 0.1291  4 Mg 2.83, 1 Hg 2.83
Hg 0.5000 0.5000 0.8709  4 Mg 2.83, 1 Hg 2.83

**Magnetization**: 0.00 μB per formula unit
**Mass density**: 5.29 g/cm³
**ΔE_f**: -0.175 eV per atom
**DOS at the Fermi energy**: 5.09 states/eV per cell

***

[3]
Density functional theory data (PBE) for Nd12MgHg6 after structural relaxation.

Cell: 9.2345 9.2345 9.2345 Å, 110.94 110.94 110.94°
With the nearest neighbours (Å) after each atom.
Fractional coordinates of all 19 atoms:
Nd 0.0796 0.7242 0.1676  4 Hg 3.21-3.54, 5 Nd 3.38-3.58, 1 Mg 3.57
Nd 0.1676 0.0796 0.7242  4 Hg 3.21-3.54, 5 Nd 3.38-3.58, 1 Mg 3.57
Nd 0.1909 0.4781 0.3430  3 Hg 3.20-3.44, 4 Nd 3.38-3.54
Nd 0.2758 0.8324 0.9204  4 Hg 3.21-3.54, 5 Nd 3.38-3.58, 1 Mg 3.57
Nd 0.3430 0.1909 0.4781  3 Hg 3.20-3.44, 4 Nd 3.38-3.54
Nd 0.4781 0.3430 0.1909  3 Hg 3.20-3.44, 4 Nd 3.38-3.54
Nd 0.5219 0.6570 0.8091  3 Hg 3.20-3.44, 4 Nd 3.38-3.54
Nd 0.6570 0.8091 0.5219  3 Hg 3.20-3.44, 4 Nd 3.38-3.54
Nd 0.7242 0.1676 0.0796  4 Hg 3.21-3.54, 5 Nd 3.38-3.58, 1 Mg 3.57
Nd 0.8091 0.5219 0.6570  3 Hg 3.20-3.44, 4 Nd 3.38-3.54
Nd 0.8324 0.9204 0.2758  4 Hg 3.21-3.54, 5 Nd 3.38-3.58, 1 Mg 3.57
Nd 0.9204 0.2758 0.8324  4 Hg 3.21-3.54, 5 Nd 3.38-3.58, 1 Mg 3.57
Mg 0.0000 0.0000 0.0000  12 Nd 3.57-3.62
Hg 0.0770 0.3587 0.5902  7 Nd 3.20-3.54, 2 Hg 3.51
Hg 0.3587 0.5902 0.0770  7 Nd 3.20-3.54, 2 Hg 3.51
Hg 0.4098 0.9230 0.6413  7 Nd 3.20-3.54, 2 Hg 3.51
Hg 0.5902 0.0770 0.3587  7 Nd 3.20-3.54, 2 Hg 3.51
Hg 0.6413 0.4098 0.9230  7 Nd 3.20-3.54, 2 Hg 3.51
Hg 0.9230 0.6413 0.4098  7 Nd 3.20-3.54, 2 Hg 3.51

**Magnetization**: 0.00 μB per formula unit
**Mass density**: 8.61 g/cm³
**ΔE_f**: -0.196 eV per atom
**DOS at the Fermi energy**: 23.87 states/eV per cell

***

[4]
Density functional theory data (PBE) for NdMgHg after structural relaxation.

Cell: 5.0427 5.0427 3.5408 Å, 90.00 90.00 120.00°
With the nearest neighbours (Å) after each atom.
Fractional coordinates of all 3 atoms:
Nd 0.0000 0.0000 0.0000  6 Hg 3.41, 6 Mg 3.41, 2 Nd 3.54
Mg 0.3333 0.6667 0.5000  3 Hg 2.91
Hg 0.6667 0.3333 0.5000  3 Mg 2.91

**Magnetization**: 0.00 μB per formula unit
**Mass density**: 7.86 g/cm³
**ΔE_f**: -0.336 eV per atom
**DOS at the Fermi energy**: 2.94 states/eV per cell

***

[5]
Density functional theory data (PBE) for Nd8MgHg2 after structural relaxation.

Cell: 9.2984 9.2984 8.2521 Å, 112.46 112.46 32.56°
With the nearest neighbours (Å) after each atom.
Fractional coordinates of all 11 atoms:
Nd 0.0407 0.0407 0.2477  1 Hg 3.17, 4 Nd 3.50-3.52
Nd 0.1757 0.1757 0.7594  3 Hg 3.14-3.34
Nd 0.3223 0.3223 0.5438  1 Hg 3.09, 1 Mg 3.33
Nd 0.4067 0.4067 0.0358  2 Hg 3.22, 3 Nd 3.50-3.61, 1 Mg 3.52
Nd 0.5933 0.5933 0.9642  2 Hg 3.22, 3 Nd 3.50-3.61, 1 Mg 3.52
Nd 0.6777 0.6777 0.4562  1 Hg 3.09, 1 Mg 3.33
Nd 0.8243 0.8243 0.2406  3 Hg 3.14-3.34
Nd 0.9593 0.9593 0.7523  1 Hg 3.17, 4 Nd 3.50-3.52
Mg 0.5000 0.5000 0.5000  8 Nd 3.33-3.59
Hg 0.1969 0.1969 0.1560  7 Nd 3.09-3.34
Hg 0.8031 0.8031 0.8440  7 Nd 3.09-3.34

**Distance to the lowest polymorph of the same formula**: 25.0 meV/atom
**Magnetization**: 0.00 μB per formula unit
**Mass density**: 7.45 g/cm³
**ΔE_f**: -0.148 eV per atom
**DOS at the Fermi energy**: 12.03 states/eV per cell

***

[6]
Density functional theory data (PBE) for Nd3Mg5Hg2 after structural relaxation.

Cell: 9.7748 9.7748 9.7748 Å, 97.09 95.34 141.58°
With the nearest neighbours (Å) after each atom.
Fractional coordinates of all 20 atoms:
Nd 0.2498 0.1325 0.3822  3 Hg 3.20-3.48, 4 Mg 3.45-3.53
Nd 0.2500 0.2500 0.0000  4 Hg 3.13, 2 Nd 3.22, 2 Mg 3.33
Nd 0.2502 0.6325 0.8827  3 Hg 3.20-3.48, 4 Mg 3.45-3.53
Nd 0.7498 0.3675 0.1173  3 Hg 3.20-3.48, 4 Mg 3.45-3.53
Nd 0.7500 0.7500 0.0000  4 Hg 3.13, 2 Nd 3.22, 2 Mg 3.33
Nd 0.7502 0.8675 0.6178  3 Hg 3.20-3.48, 4 Mg 3.45-3.53
Mg 0.1499 0.3859 0.5357  1 Hg 2.68, 2 Mg 2.94
Mg 0.2500 0.5075 0.2575  2 Hg 2.94, 5 Mg 3.04-3.22
Mg 0.2500 0.7500 0.5000  8 Mg 2.94-3.22
Mg 0.2500 0.9925 0.7425  2 Hg 2.94, 5 Mg 3.04-3.22
Mg 0.3501 0.8859 0.2360  1 Hg 2.68, 2 Mg 2.94
Mg 0.6499 0.1141 0.7640  1 Hg 2.68, 2 Mg 2.94
Mg 0.7500 0.0075 0.2575  2 Hg 2.94, 5 Mg 3.04-3.22
Mg 0.7500 0.2500 0.5000  8 Mg 2.94-3.22
Mg 0.7500 0.4925 0.7425  2 Hg 2.94, 5 Mg 3.04-3.22
Mg 0.8501 0.6141 0.4643  1 Hg 2.68, 2 Mg 2.94
Hg 0.1486 0.8574 0.0060  3 Mg 2.68-2.94
Hg 0.3514 0.3574 0.7088  3 Mg 2.68-2.94
Hg 0.6486 0.6426 0.2912  3 Mg 2.68-2.94
Hg 0.8514 0.1426 0.9940  3 Mg 2.68-2.94

**Magnetization**: 0.00 μB per formula unit
**Mass density**: 5.79 g/cm³
**ΔE_f**: -0.131 eV per atom
**DOS at the Fermi energy**: 15.56 states/eV per cell

***

[7]
Density functional theory data (PBE) for NdMg2Hg4 after structural relaxation.

Cell: 8.8770 8.8770 8.8770 Å, 32.22 32.22 32.22°
With the nearest neighbours (Å) after each atom.
Fractional coordinates of all 7 atoms:
Nd 0.0000 0.0000 0.0000  8 Hg 3.19-3.30
Mg 0.2462 0.2462 0.2462  7 Hg 2.91-3.05
Mg 0.7538 0.7538 0.7538  7 Hg 2.91-3.05
Hg 0.1307 0.1307 0.1307  4 Mg 2.91-3.05
Hg 0.3910 0.3910 0.3910  3 Mg 2.94, 3 Nd 3.19
Hg 0.6090 0.6090 0.6090  3 Mg 2.94, 3 Nd 3.19
Hg 0.8693 0.8693 0.8693  4 Mg 2.91-3.05

**Magnetization**: 0.00 μB per formula unit
**Mass density**: 9.35 g/cm³
**ΔE_f**: -0.279 eV per atom
**DOS at the Fermi energy**: 3.41 states/eV per cell

***

[8]
Density functional theory data (PBE) for NdMg10Hg2 after structural relaxation.

Cell: 10.0486 7.7385 7.7037 Å, 81.19 49.55 49.25°
With the nearest neighbours (Å) after each atom.
Fractional coordinates of all 13 atoms:
Nd 0.0000 0.0000 0.0000  16 Mg 3.51-3.87, 4 Hg 3.85
Mg 0.0000 0.5000 0.0000  10 Mg 2.99-3.14
Mg 0.0054 0.6507 0.3493  7 Mg 3.03-3.32, 2 Hg 3.06
Mg 0.2859 0.5038 0.4962  2 Hg 2.92, 5 Mg 2.99-3.17
Mg 0.3493 0.9946 0.0054  7 Mg 3.03-3.32, 2 Hg 3.06
Mg 0.4962 0.7141 0.2859  2 Hg 2.92, 5 Mg 2.99-3.17
Mg 0.5000 0.0000 0.5000  10 Mg 2.99-3.14
Mg 0.5038 0.2859 0.7141  2 Hg 2.92, 5 Mg 2.99-3.17
Mg 0.6507 0.0054 0.9946  7 Mg 3.03-3.32, 2 Hg 3.06
Mg 0.7141 0.4962 0.5038  2 Hg 2.92, 5 Mg 2.99-3.17
Mg 0.9946 0.3493 0.6507  7 Mg 3.03-3.32, 2 Hg 3.06
Hg 0.0000 0.0000 0.5000  8 Mg 2.92-3.06, 2 Hg 3.02
Hg 0.5000 0.5000 0.0000  8 Mg 2.92-3.06, 2 Hg 3.02

**Magnetization**: 0.00 μB per formula unit
**Mass density**: 4.29 g/cm³
**ΔE_f**: -0.122 eV per atom
**DOS at the Fermi energy**: 4.76 states/eV per cell

***

[9]
Density functional theory data (PBE) for Nd4Mg2Hg after structural relaxation.

Cell: 6.6261 6.6261 6.6261 Å, 109.41 109.41 109.59°
With the nearest neighbours (Å) after each atom.
Fractional coordinates of all 7 atoms:
Nd 0.0000 0.0000 0.5000  2 Hg 3.31, 4 Mg 3.31
Nd 0.0000 0.5000 0.0000  2 Hg 3.31, 4 Mg 3.31
Nd 0.5000 0.0000 0.0000  2 Hg 3.31, 4 Mg 3.31
Nd 0.5000 0.5000 0.5000  2 Hg 3.31, 4 Mg 3.31
Mg 0.0000 0.5000 0.5000  8 Nd 3.31
Mg 0.5000 0.0000 0.5000  8 Nd 3.31
Hg 0.0000 0.0000 0.0000  8 Nd 3.31

**Magnetization**: 0.00 μB per formula unit
**Mass density**: 6.13 g/cm³
**ΔE_f**: -0.047 eV per atom
**DOS at the Fermi energy**: 10.43 states/eV per cell

***

[10]
Density functional theory data (PBE) for NdMg2Hg2 after structural relaxation.

Cell: 7.1635 7.1635 7.1635 Å, 144.27 144.27 51.43°
With the nearest neighbours (Å) after each atom.
Fractional coordinates of all 5 atoms:
Nd 0.0000 0.0000 0.0000  8 Hg 3.42
Mg 0.2500 0.7500 0.5000  4 Hg 2.84, 4 Mg 3.11
Mg 0.7500 0.2500 0.5000  4 Hg 2.84, 4 Mg 3.11
Hg 0.3895 0.3895 0.0000  4 Mg 2.84, 1 Hg 2.85
Hg 0.6105 0.6105 0.0000  4 Mg 2.84, 1 Hg 2.85

**Distance to the lowest polymorph of the same formula**: 0.0 meV/atom
**Magnetization**: 0.00 μB per formula unit
**Mass density**: 7.91 g/cm³
**ΔE_f**: -0.334 eV per atom
**DOS at the Fermi energy**: 2.22 states/eV per cell

***

Which value of mass density does entry 1 give? 9.77 g/cm³

***

What did the sixth record say?
Density functional theory data (PBE) for Nd3Mg5Hg2 after structural relaxation.

Cell: 9.7748 9.7748 9.7748 Å, 97.09 95.34 141.58°
With the nearest neighbours (Å) after each atom.
Fractional coordinates of all 20 atoms:
Nd 0.2498 0.1325 0.3822  3 Hg 3.20-3.48, 4 Mg 3.45-3.53
Nd 0.2500 0.2500 0.0000  4 Hg 3.13, 2 Nd 3.22, 2 Mg 3.33
Nd 0.2502 0.6325 0.8827  3 Hg 3.20-3.48, 4 Mg 3.45-3.53
Nd 0.7498 0.3675 0.1173  3 Hg 3.20-3.48, 4 Mg 3.45-3.53
Nd 0.7500 0.7500 0.0000  4 Hg 3.13, 2 Nd 3.22, 2 Mg 3.33
Nd 0.7502 0.8675 0.6178  3 Hg 3.20-3.48, 4 Mg 3.45-3.53
Mg 0.1499 0.3859 0.5357  1 Hg 2.68, 2 Mg 2.94
Mg 0.2500 0.5075 0.2575  2 Hg 2.94, 5 Mg 3.04-3.22
Mg 0.2500 0.7500 0.5000  8 Mg 2.94-3.22
Mg 0.2500 0.9925 0.7425  2 Hg 2.94, 5 Mg 3.04-3.22
Mg 0.3501 0.8859 0.2360  1 Hg 2.68, 2 Mg 2.94
Mg 0.6499 0.1141 0.7640  1 Hg 2.68, 2 Mg 2.94
Mg 0.7500 0.0075 0.2575  2 Hg 2.94, 5 Mg 3.04-3.22
Mg 0.7500 0.2500 0.5000  8 Mg 2.94-3.22
Mg 0.7500 0.4925 0.7425  2 Hg 2.94, 5 Mg 3.04-3.22
Mg 0.8501 0.6141 0.4643  1 Hg 2.68, 2 Mg 2.94
Hg 0.1486 0.8574 0.0060  3 Mg 2.68-2.94
Hg 0.3514 0.3574 0.7088  3 Mg 2.68-2.94
Hg 0.6486 0.6426 0.2912  3 Mg 2.68-2.94
Hg 0.8514 0.1426 0.9940  3 Mg 2.68-2.94

**Magnetization**: 0.00 μB per formula unit
**Mass density**: 5.79 g/cm³
**ΔE_f**: -0.131 eV per atom
**DOS at the Fermi energy**: 15.56 states/eV per cell